ZnHg5, optimized geometry, DFT GGA-PBE; formation energy = 0.08 eV/atom; ρ = 11.76 g cm⁻³
1.0
-0.9091 -15.2837 -2.2301
2.9220 -0.3273 1.0523
-1.0867 -0.3593 2.9056
Hg Zn
5 1
direct
0.6910 0.0000 0.0000
0.9757 0.0000 0.0000
0.5143 0.5000 0.5000
0.1523 0.5000 0.5000
0.3333 0.0000 0.0000
0.8333 0.5000 0.5000